*P*
This record from Alexandria via LeMat-Bulk describes crystalline Sn3BiPd at its relaxed geometry. The functional is GGA-PBE.

The volume is 145 Å³ per cell.

It has space group Pm-3m (No. 221), with a = 5.2490 Å, b = 5.2490 Å, c = 5.2490 Å, α = 90.00°, β = 90.00° and γ = 90.00°. The asymmetric unit holds Sn at (0.0000, 0.0000, 0.5000), Bi at (0.5000, 0.5000, 0.5000) and Pd at (0.0000, 0.0000, 0.0000).

---

*Q*
This record from Alexandria via LeMat-Bulk describes crystalline Sn3BiPd at its relaxed geometry. The functional is GGA-PBE.

The volume is 200 Å³ per cell.

It has space group Pm-3m (No. 221), with a = 5.8461 Å, b = 5.8461 Å, c = 5.8461 Å, α = 90.00°, β = 90.00° and γ = 90.00°. The asymmetric unit holds Sn at (0.0000, 0.0000, 0.5000), Bi at (0.0000, 0.0000, 0.0000) and Pd at (0.5000, 0.5000, 0.5000).

---

Of them, *P* has the highest stability.

---

*P*
This record from Alexandria via LeMat-Bulk describes crystalline SnBi3Pd3 at its relaxed geometry. The functional is GGA-PBE.

The volume is 1023 Å³ per cell.

It has space group R-3 (No. 148, hexagonal axes), with a = 8.2808 Å, b = 8.2808 Å, c = 17.2287 Å, α = 90.00°, β = 90.00° and γ = 120.00°. The asymmetric unit holds Sn at (0.0000, 0.0000, 0.1631), Bi at (0.0127, 0.2665, 0.6019) and Pd at (0.0079, 0.4017, 0.4329).

---

*Q*
This record from Alexandria via LeMat-Bulk describes crystalline SnBi3Pd3 at its relaxed geometry. The functional is GGA-PBE.

The volume is 674 Å³ per cell.

It has space group C2/m (No. 12), with a = 7.4030 Å, b = 13.0347 Å, c = 7.0946 Å, α = 90.00°, β = 100.16° and γ = 90.00°. The asymmetric unit holds Sn at (0.2039, 0.0000, 0.4730), Bi at (0.0000, 0.2563, 0.5000), Bi at (0.0000, 0.3085, 0.0000), Bi at (0.1888, 0.0000, 0.9225), Pd at (0.0130, 0.5000, 0.7396) and Pd at (0.2014, 0.1558, 0.2300).

---

Of them, *P* has the highest stability.

---

*P*
This record from Alexandria via LeMat-Bulk describes crystalline SrBiPd4 at its relaxed geometry. The functional is GGA-PBE.

The volume is 336 Å³ per cell.

It has space group P4/mbm (No. 127), with a = 6.6019 Å, b = 6.6019 Å, c = 7.7040 Å, α = 90.00°, β = 90.00° and γ = 90.00°. The asymmetric unit holds Sr at (0.0000, 0.5000, 0.0000), Bi at (0.0000, 0.0000, 0.5000), Pd at (0.0000, 0.0000, 0.1660) and Pd at (0.1371, 0.3629, 0.5000).

---

*Q*
This record from Alexandria via LeMat-Bulk describes crystalline SrBiPd4 at its relaxed geometry. The functional is GGA-PBE.

The volume is 480 Å³ per cell.

It has space group F-43m (No. 216), with a = 7.8320 Å, b = 7.8320 Å, c = 7.8320 Å, α = 90.00°, β = 90.00° and γ = 90.00°. The asymmetric unit holds Sr at (0.0000, 0.0000, 0.0000), Bi at (0.2500, 0.2500, 0.2500) and Pd at (0.1244, 0.1244, 0.6244).

---

Of them, *Q* has the highest stability.

---

*P*
This record from Alexandria via LeMat-Bulk describes crystalline SrBi3Pd at its relaxed geometry. The functional is GGA-PBE.

The volume is 308 Å³ per cell.

It has space group Pmn2_1 (No. 31), with a = 7.0817 Å, b = 6.5281 Å, c = 6.6573 Å, α = 90.00°, β = 90.00° and γ = 90.00°. The asymmetric unit holds Sr at (0.0000, 0.1745, 0.0000), Bi at (0.0000, 0.8912, 0.5684), Bi at (0.2445, 0.3153, 0.4606) and Pd at (0.0000, 0.6005, 0.2687).

---

*Q*
This record from Alexandria via LeMat-Bulk describes crystalline SrBi3Pd at its relaxed geometry. The functional is GGA-PBE.

The volume is 221 Å³ per cell.

It has space group Pm-3m (No. 221), with a = 6.0477 Å, b = 6.0477 Å, c = 6.0477 Å, α = 90.00°, β = 90.00° and γ = 90.00°. The asymmetric unit holds Sr at (0.0000, 0.0000, 0.0000), Bi at (0.0000, 0.0000, 0.5000) and Pd at (0.5000, 0.5000, 0.5000).

---

*R*
This record from Alexandria via LeMat-Bulk describes crystalline SrBi3Pd at its relaxed geometry. The functional is GGA-PBE.

The volume is 166 Å³ per cell.

It has space group Pm-3m (No. 221), with a = 5.5004 Å, b = 5.5004 Å, c = 5.5004 Å, α = 90.00°, β = 90.00° and γ = 90.00°. The asymmetric unit holds Sr at (0.0000, 0.0000, 0.0000), Bi at (0.0000, 0.5000, 0.5000) and Pd at (0.5000, 0.5000, 0.5000).

---

Of them, *P* has the highest stability.

---

*P*
This record from Alexandria via LeMat-Bulk describes crystalline Sr3BiPd at its relaxed geometry. The functional is GGA-PBE.

The volume is 195 Å³ per cell.

It has space group Pm-3m (No. 221), with a = 5.8021 Å, b = 5.8021 Å, c = 5.8021 Å, α = 90.00°, β = 90.00° and γ = 90.00°. The asymmetric unit holds Sr at (0.0000, 0.0000, 0.5000), Bi at (0.5000, 0.5000, 0.5000) and Pd at (0.0000, 0.0000, 0.0000).

---

*Q*
This record from Alexandria via LeMat-Bulk describes crystalline Sr3BiPd at its relaxed geometry. The functional is GGA-PBE.

The volume is 1465 Å³ per cell.

It has space group Cmce (No. 64), with a = 14.2560 Å, b = 11.7561 Å, c = 8.7409 Å, α = 90.00°, β = 90.00° and γ = 90.00°. The asymmetric unit holds Sr at (0.0000, 0.0738, 0.1922), Sr at (0.1459, 0.1613, 0.5916), Bi at (0.2500, 0.0922, 0.2500) and Pd at (0.0000, 0.1967, 0.8718).

---

Of them, *Q* has the highest stability.

---

*P*
This record from Alexandria via LeMat-Bulk describes crystalline Sr2Bi3Pd2 at its relaxed geometry. The functional is GGA-PBE.

The volume is 397 Å³ per cell.

It has space group C2/m (No. 12), with a = 11.5091 Å, b = 4.5544 Å, c = 8.1154 Å, α = 90.00°, β = 110.98° and γ = 90.00°. The asymmetric unit holds Sr at (0.1487, 0.0000, 0.2948), Bi at (0.0000, 0.5000, 0.5000), Bi at (0.1257, 0.5000, 0.9494) and Pd at (0.1454, 0.0000, 0.7431).

---

*Q*
This record from Alexandria via LeMat-Bulk describes crystalline Sr2Bi3Pd2 at its relaxed geometry. The functional is GGA-PBE.

The volume is 800 Å³ per cell.

It has space group Cmcm (No. 63), with a = 4.8993 Å, b = 22.0252 Å, c = 7.4177 Å, α = 90.00°, β = 90.00° and γ = 90.00°. The asymmetric unit holds Sr at (0.0000, 0.0260, 0.2500), Sr at (0.0000, 0.1640, 0.7500), Bi at (0.0000, 0.2122, 0.2500), Bi at (0.0000, 0.4201, 0.0295) and Pd at (0.0000, 0.2918, 0.5448).

---

Of them, *Q* has the highest stability.

---

*P*
This record from Alexandria via LeMat-Bulk describes crystalline Sr2Bi5Pd3 at its relaxed geometry. The functional is GGA-PBE.

The volume is 1076 Å³ per cell.

It has space group Cmc2_1 (No. 36), with a = 4.7859 Å, b = 28.2368 Å, c = 7.9602 Å, α = 90.00°, β = 90.00° and γ = 90.00°. The asymmetric unit holds Sr at (0.0000, 0.0229, 0.0000), Sr at (0.0000, 0.3297, 0.9737), Bi at (0.0000, 0.0966, 0.6376), Bi at (0.0000, 0.2050, 0.1772), Bi at (0.0000, 0.2116, 0.7608), Bi at (0.0000, 0.3787, 0.4961), Bi at (0.0000, 0.4514, 0.8258), Pd at (0.0000, 0.1063, 0.2629), Pd at (0.0000, 0.2723, 0.4652) and Pd at (0.0000, 0.4507, 0.2098).

---

*Q*
This record from Alexandria via LeMat-Bulk describes crystalline Sr2Bi5Pd3 at its relaxed geometry. The functional is GGA-PBE.

The volume is 1124 Å³ per cell.

It has space group Ibam (No. 72), with a = 11.4038 Å, b = 13.5864 Å, c = 7.2522 Å, α = 90.00°, β = 90.00° and γ = 90.00°. The asymmetric unit holds Sr at (0.2308, 0.1472, 0.0000), Bi at (0.0000, 0.0000, 0.2500), Bi at (0.0000, 0.2735, 0.2500), Bi at (0.1646, 0.4159, 0.0000), Pd at (0.0000, 0.5000, 0.2500) and Pd at (0.1037, 0.1406, 0.5000).

---

Of them, *P* has the highest stability.

---

*P*
This record from Alexandria via LeMat-Bulk describes crystalline SrBi4Pd4 at its relaxed geometry. The functional is GGA-PBE.

The volume is 462 Å³ per cell.

It has space group P4_2/nmc (No. 137, origin choice 2), with a = 7.1319 Å, b = 7.1319 Å, c = 9.0870 Å, α = 90.00°, β = 90.00° and γ = 90.00°. The asymmetric unit holds Sr at (0.2500, 0.7500, 0.2500), Bi at (0.0054, 0.2500, 0.1096) and Pd at (0.0511, 0.2500, 0.4172).

---

*Q*
This record from Alexandria via LeMat-Bulk describes crystalline SrBi4Pd4 at its relaxed geometry. The functional is GGA-PBE.

The volume is 488 Å³ per cell.

It has space group P4_2/n (No. 86, origin choice 2), with a = 9.3250 Å, b = 9.3250 Å, c = 5.6087 Å, α = 90.00°, β = 90.00° and γ = 90.00°. The asymmetric unit holds Sr at (0.2500, 0.2500, 0.2500), Bi at (0.0996, 0.6306, 0.1568) and Pd at (0.0526, 0.6088, 0.6555).

---

Of them, *P* has the highest stability.

---

*P*
This record from Alexandria via LeMat-Bulk describes crystalline Ta3BiPd at its relaxed geometry. The functional is GGA-PBE.

The volume is 132 Å³ per cell.

It has space group Pm-3m (No. 221), with a = 5.0903 Å, b = 5.0903 Å, c = 5.0903 Å, α = 90.00°, β = 90.00° and γ = 90.00°. The asymmetric unit holds Ta at (0.0000, 0.0000, 0.5000), Bi at (0.0000, 0.0000, 0.0000) and Pd at (0.5000, 0.5000, 0.5000).

---

*Q*
This record from Alexandria via LeMat-Bulk describes crystalline Ta3BiPd at its relaxed geometry. The functional is GGA-PBE.

The volume is 118 Å³ per cell.

It has space group Pm-3m (No. 221), with a = 4.8998 Å, b = 4.8998 Å, c = 4.8998 Å, α = 90.00°, β = 90.00° and γ = 90.00°. The asymmetric unit holds Ta at (0.0000, 0.0000, 0.5000), Bi at (0.5000, 0.5000, 0.5000) and Pd at (0.0000, 0.0000, 0.0000).

---

Of them, *Q* has the highest stability.

---

*P*
This record from Alexandria via LeMat-Bulk describes crystalline Tb7Bi2Pd2 at its relaxed geometry. The functional is GGA-PBE.

The volume is 633 Å³ per cell.

It has space group Imm2 (No. 44), with a = 4.0041 Å, b = 15.9872 Å, c = 9.8813 Å, α = 90.00°, β = 90.00° and γ = 90.00°. The asymmetric unit holds Tb at (0.0000, 0.0000, 0.0000), Tb at (0.0000, 0.1255, 0.5786), Tb at (0.0000, 0.3153, 0.3731), Tb at (0.0000, 0.3541, 0.7277), Bi at (0.0000, 0.0000, 0.3294), Bi at (0.0000, 0.5000, 0.2390) and Pd at (0.0000, 0.2375, 0.0642).

---

*Q*
This record from Alexandria via LeMat-Bulk describes crystalline Tb7Bi2Pd2 at its relaxed geometry. The functional is GGA-PBE.

The volume is 677 Å³ per cell.

It has space group Cmmm (No. 65), with a = 8.7314 Å, b = 11.0505 Å, c = 7.0168 Å, α = 90.00°, β = 90.00° and γ = 90.00°. The asymmetric unit holds Tb at (0.0000, 0.0000, 0.0000), Tb at (0.0000, 0.5000, 0.2365), Tb at (0.2500, 0.2500, 0.2503), Bi at (0.1935, 0.0000, 0.5000) and Pd at (0.0000, 0.2791, 0.0000).

---

Of them, *P* has the highest stability.